Density functional theory data (meta-GGA SCAN) for ZnCd2Rh at its PBEsol-relaxed geometry.

Cell lengths 2.9138, 2.9138, 27.3801 Å; angles 90.00, 90.00, 120.00 degrees
Closest atoms and distances in Å follow each position.
Space group R-3m (No. 166, hexagonal axes)
One atom of each set of equivalent atoms:
Zn: 0.0000 0.0000 0.0000  6 Cd 2.90, 6 Zn 2.91
Cd: 0.0000 0.0000 0.2473  3 Rh 2.78, 3 Zn 2.90, 6 Cd 2.91
Rh: 0.0000 0.0000 0.5000  6 Cd 2.78, 6 Rh 2.91

Density functional theory data (meta-GGA SCAN) for La3TlHg at its PBEsol-relaxed geometry.

Cell lengths 5.8195, 5.8195, 5.8195 Å; angles 90.00, 90.00, 90.00 degrees
Closest atoms and distances in Å follow each position.
Space group Pm-3m (No. 221)
One atom of each set of equivalent atoms:
La: 0.0000 0.0000 0.5000  2 Hg 2.91
Tl: 0.5000 0.5000 0.5000  12 La 4.12
Hg: 0.0000 0.0000 0.0000  6 La 2.91

Density functional theory data (meta-GGA SCAN) for LaYCd2 at its PBEsol-relaxed geometry.

## Properties
- Energy above the lowest structure with this stoichiometry: 0 meV per atom

Cell lengths 3.6858, 3.6858, 7.8677 Å; angles 90.00, 90.00, 90.00 degrees
Closest atoms and distances in Å follow each position.
Space group P4/mmm (No. 123)
One atom of each set of equivalent atoms:
La: 0.0000 0.0000 0.0000  8 Cd 3.38, 4 La 3.69
Y: 0.0000 0.0000 0.5000  8 Cd 3.16
Cd: 0.5000 0.5000 0.2730  4 Y 3.16, 4 La 3.38

What did we get for calculated formation energy? Answer: 73 -77 -456 meV per atom, in the order shown.
What did we get for DFT total energy? Answer: -323.5 -270.2 -133.6 eV for the cell shown, in the order shown.